AcDy3Te4: optimized geometry, PBE.

Output
Calculated volume: 31.16 Å³ per atom
Energy above the lowest structure with this stoichiometry: 0.000 eV per atom

a b c (Å): 4.3649 4.3649 30.2199
angles (deg): 90.00 90.00 120.00
Last column: nearest neighbours and their distance in Å.
Space group P6_3/mmc (No. 194)
Symmetry-distinct sites (fractional):
Ac  0.3333  0.6667  0.2500 x2  6 Te 3.37
Dy  0.0000  0.0000  0.0000 x2  6 Te 3.08
Dy  0.3333  0.6667  0.6173 x4  6 Te 3.08-3.09
Te  0.0000  0.0000  0.1762 x4  3 Dy 3.09, 3 Ac 3.37
Te  0.3333  0.6667  0.0587 x4  6 Dy 3.08

=====

AcDy4Te6: optimized geometry, PBE.

Output
Calculated volume: 31.94 Å³ per atom
Total energy: -227.5 eV/cell

a b c (Å): 4.3884 14.2923 22.4079
angles (deg): 90.00 90.00 90.00
Last column: nearest neighbours and their distance in Å.
Space group Cmcm (No. 63)
Symmetry-distinct sites (fractional):
Ac  0.0000  0.1555  0.2500 x4  6 Te 3.30-3.37
Dy  0.0000  0.0938  0.6220 x8  6 Te 3.05-3.09
Dy  0.0000  0.3555  0.5344 x8  6 Te 3.07-3.15
Te  0.0000  0.0000  0.0000 x4  6 Dy 3.05-3.11
Te  0.0000  0.1717  0.7500 x4  2 Dy 3.08, 2 Ac 3.30
Te  0.0000  0.2630  0.0930 x8  5 Dy 3.07-3.15
Te  0.0000  0.4534  0.6595 x8  3 Dy 3.09-3.13, 2 Ac 3.37

=====

AcDyTe: optimized geometry, PBE.

Output
Calculated volume: 34.15 Å³ per atom
Energy above the lowest structure with this stoichiometry: 0.000 eV per atom

a b c (Å): 4.0202 4.0202 12.6781
angles (deg): 90.00 90.00 90.00
Last column: nearest neighbours and their distance in Å.
Space group I4mm (No. 107)
Symmetry-distinct sites (fractional):
Ac  0.0000  0.0000  0.0000 x2  5 Te 3.71-3.95, 5 Dy 3.77-3.86, 4 Ac 4.02
Dy  0.0000  0.0000  0.3042 x2  4 Te 3.20
Te  0.0000  0.0000  0.6884 x2  4 Dy 3.20

=====

AcDy2Te5: optimized geometry, PBE.

Output
Calculated volume: 31.08 Å³ per atom
Total energy: -158.0 eV/cell

a b c (Å): 8.3075 8.3075 14.4099
angles (deg): 90.00 90.00 90.00
Last column: nearest neighbours and their distance in Å.
Space group I4/mcm (No. 140)
Symmetry-distinct sites (fractional):
Ac  0.0000  0.0000  0.2500 x4  10 Te 3.50-3.60
Dy  0.1520  0.3480  0.0000 x8  8 Te 3.08-3.28
Te  0.0000  0.0000  0.0000 x4  4 Dy 3.15
Te  0.1537  0.3463  0.3565 x16  3 Dy 3.08-3.28

=====

AcDy3Te4: optimized geometry, PBE.

Output
Calculated volume: 31.22 Å³ per atom
Energy above the lowest structure with this stoichiometry: 0.019 eV per atom

a b c (Å): 9.0815 12.6021 4.3642
angles (deg): 90.00 90.00 90.00
Last column: nearest neighbours and their distance in Å.
Space group Cmmm (No. 65)
Symmetry-distinct sites (fractional):
Ac  0.0000  0.0000  0.0000 x2  6 Te 3.26-3.27
Dy  0.0000  0.5000  0.0000 x2  6 Te 3.04
Dy  0.2500  0.2500  0.5000 x4  6 Te 3.15
Te  0.0000  0.2586  0.0000 x4  5 Dy 3.04-3.15, 1 Ac 3.26
Te  0.2324  0.5000  0.5000 x4  4 Dy 3.04-3.15, 2 Ac 3.27

=====

Ac6DyTe8: optimized geometry, PBE.

Output
Calculated volume: 39.20 Å³ per atom
Total energy: -307.5 eV/cell

a b c (Å): 13.2990 13.2990 13.2990
angles (deg): 90.00 90.00 90.00
Last column: nearest neighbours and their distance in Å.
Space group Fm-3m (No. 225)
Symmetry-distinct sites (fractional):
Ac  0.0000  0.2500  0.2500 x24  6 Te 3.32-3.33
Dy  0.0000  0.0000  0.0000 x4  6 Te 3.17
Te  0.0000  0.0000  0.2387 x24  1 Dy 3.17, 4 Ac 3.33
Te  0.2500  0.2500  0.2500 x8  6 Ac 3.32